DFT (PBE-GGA) results for a geometry-optimized HfMgTcNi structure.

Values from the calculation:
The total energy comes out at -7.0662 eV per atom. For the formation energy from the elements, the calculation gives -14 kJ per mole of atoms. The value obtained for the density of states at the Fermi level is 14.77 states/eV/cell.

a b c (Å): 6.329 6.329 6.329
angles (deg): 90.00 90.00 90.00
Space group F-43m (No. 216)
Symmetry-distinct sites (fractional):
Hf1 0.000 0.000 0.000 x4
Mg1 0.000 0.000 0.500 x4
Tc1 0.250 0.250 0.750 x4
Ni1 0.250 0.250 0.250 x4